Below is a relaxed structure of BaNa2MnF6, with properties calculated at the GGA+U level.

Lattice parameters (Å, degrees): 5.9268 5.9428 6.2652 89.91 118.25 120.00
Last column: nearest neighbours and their distance in Å.
Fractional positions:
Na  0.5767  0.7874  0.3503  6 F 2.32-2.42
F  0.4506  0.0793  0.1629  1 Mn 2.15, 1 Na 2.32
F  0.7522  0.6069  0.6900  1 Mn 2.21, 2 Na 2.24-2.40
F  0.0965  0.3730  0.1617  1 Mn 2.17, 2 Na 2.32-2.40
Na  0.5997  0.2996  0.8836  6 F 2.24-2.42
F  0.8050  0.7244  0.1618  1 Mn 2.16, 2 Na 2.32-2.41
Ba  0.0309  0.5144  0.5312  6 F 2.55-2.73
F  0.5630  0.9523  0.6948  1 Mn 2.18, 2 Na 2.24-2.42
Mn  0.9931  0.9961  0.9744  6 F 2.15-2.21
F  0.0979  0.1442  0.6919  1 Mn 2.19, 2 Na 2.24-2.41

## Properties
* M_tot: 5.0 Bohr magnetons per cell
* crystal system: triclinic
* mass density: 3.652 g/cm³
* energy: -5.34 eV per atom